Record 1
Zn2W4I: relaxed, GGA-PBE.

Values from the calculation:
E_tot, eV per atom: -5.4527

```
data_Zn2W4I
_chemical_formula_sum 'Zn2 W4 I1'
_space_group_name_H-M_alt 'P 1'
_space_group_IT_number 1
_cell_length_a 4.836
_cell_length_b 4.836
_cell_length_c 7.248
_cell_angle_alpha 70.51
_cell_angle_beta 70.51
_cell_angle_gamma 90.00
loop_
_space_group_symop_operation_xyz
'x,y,z'
loop_
_atom_site_label
_atom_site_type_symbol
_atom_site_fract_x
_atom_site_fract_y
_atom_site_fract_z
I1 I 0.000 0.000 0.000
Zn1 Zn 0.605 0.605 0.789
Zn2 Zn 0.395 0.395 0.211
W1 W 0.801 0.801 0.397
W2 W 0.199 0.199 0.603
W3 W 0.000 0.500 0.000
W4 W 0.500 0.000 0.000
```

---

Record 2
CdSiRu2: relaxed, GGA-PBE.

Values from the calculation:
E_tot, eV per atom: -6.0762

```
data_CdSiRu2
_chemical_formula_sum 'Cd1 Si1 Ru2'
_space_group_name_H-M_alt 'P 1'
_space_group_IT_number 1
_cell_length_a 2.823
_cell_length_b 3.605
_cell_length_c 6.285
_cell_angle_alpha 90.00
_cell_angle_beta 90.00
_cell_angle_gamma 90.00
loop_
_space_group_symop_operation_xyz
'x,y,z'
loop_
_atom_site_label
_atom_site_type_symbol
_atom_site_fract_x
_atom_site_fract_y
_atom_site_fract_z
Cd1 Cd 0.500 0.500 0.760
Ru1 Ru 0.000 0.000 0.032
Ru2 Ru 0.500 0.500 0.287
Si1 Si 0.000 0.000 0.421
```

---

Record 3
TmPuPtPb: relaxed, GGA-PBE.

Values from the calculation:
DFT formation energy, eV per formula unit: -1.96

```
data_TmPuPtPb
_chemical_formula_sum 'Tm1 Pu1 Pt1 Pb1'
_space_group_name_H-M_alt 'P 1'
_space_group_IT_number 1
_cell_length_a 5.180
_cell_length_b 5.180
_cell_length_c 5.180
_cell_angle_alpha 60.00
_cell_angle_beta 60.00
_cell_angle_gamma 60.00
loop_
_space_group_symop_operation_xyz
'x,y,z'
loop_
_atom_site_label
_atom_site_type_symbol
_atom_site_fract_x
_atom_site_fract_y
_atom_site_fract_z
Pb1 Pb 0.000 0.000 0.000
Tm1 Tm 0.250 0.250 0.250
Pt1 Pt 0.500 0.500 0.500
Pu1 Pu 0.750 0.750 0.750
```

---

Record 4
TeRhW: relaxed, GGA-PBE.

Values from the calculation:
E_tot, eV per atom: -7.3805

```
data_TeRhW
_chemical_formula_sum 'Te2 Rh2 W2'
_space_group_name_H-M_alt 'P 1'
_space_group_IT_number 1
_cell_length_a 3.171
_cell_length_b 3.091
_cell_length_c 12.698
_cell_angle_alpha 90.00
_cell_angle_beta 90.00
_cell_angle_gamma 120.85
loop_
_space_group_symop_operation_xyz
'x,y,z'
loop_
_atom_site_label
_atom_site_type_symbol
_atom_site_fract_x
_atom_site_fract_y
_atom_site_fract_z
Rh1 Rh 0.449 0.898 0.000
Rh2 Rh 0.435 0.870 0.500
W1 W 0.778 0.556 0.339
W2 W 0.778 0.556 0.661
Te1 Te 0.113 0.227 0.831
Te2 Te 0.113 0.227 0.169
```